B2SbIr2 | PBE | optimized geometry Values from VASP.

Quantum ESPRESSO input file:
```
&SYSTEM
  ibrav = 0, nat = 10, ntyp = 3
/
ATOMIC_SPECIES
B 10.81 B.upf
Sb 121.76 Sb.upf
Ir 192.22 Ir.upf
CELL_PARAMETERS angstrom
3.051 0.000 0.000
0.000 3.051 0.000
0.000 0.000 14.805
ATOMIC_POSITIONS angstrom
B 0.000 1.526 3.701
B 0.000 1.526 11.104
B 1.526 0.000 3.701
B 1.526 0.000 11.104
Sb 0.000 0.000 0.000
Sb 1.526 1.526 7.403
Ir 0.000 0.000 5.200
Ir 0.000 0.000 9.605
Ir 1.526 1.526 2.202
Ir 1.526 1.526 12.603
```

Summary:
Space-group type: I4/mmm (139)
E_tot (eV/atom): -7.0780
Formation energy without anion corrections (eV per atom): -0.04


CuHgBi | PBE | optimized geometry Values from VASP.

Quantum ESPRESSO input file:
```
&SYSTEM
  ibrav = 0, nat = 3, ntyp = 3
/
ATOMIC_SPECIES
Cu 63.55 Cu.upf
Hg 200.59 Hg.upf
Bi 208.98 Bi.upf
CELL_PARAMETERS angstrom
4.397 0.000 0.000
-2.199 3.808 0.000
0.000 0.000 4.244
ATOMIC_POSITIONS angstrom
Cu 0.000 0.000 0.000
Hg 0.000 2.539 1.027
Bi 2.199 1.269 3.026
```

Summary:
Space-group type: P3m1 (156)
E_tot (eV/atom): -2.5375


Mg6VBi | PBE | optimized geometry Values from VASP.

Quantum ESPRESSO input file:
```
&SYSTEM
  ibrav = 0, nat = 16, ntyp = 3
/
ATOMIC_SPECIES
Mg 24.30 Mg.upf
V 50.94 V.upf
Bi 208.98 Bi.upf
CELL_PARAMETERS angstrom
5.083 0.000 0.000
0.000 6.465 0.000
0.000 0.000 10.920
ATOMIC_POSITIONS angstrom
Mg 0.000 0.000 0.000
Mg 0.000 1.540 2.810
Mg 0.000 1.692 8.270
Mg 0.000 3.233 5.460
Mg 0.000 4.773 8.270
Mg 0.000 4.925 2.810
Mg 2.542 0.000 1.827
Mg 2.542 1.570 4.605
Mg 2.542 1.663 10.065
Mg 2.542 3.233 7.287
Mg 2.542 4.802 10.065
Mg 2.542 4.895 4.605
V 0.000 0.000 5.465
V 0.000 3.233 0.005
Bi 2.542 0.000 7.272
Bi 2.542 3.233 1.812
```

Summary:
Space-group type: Amm2 (38)
E_tot (eV/atom): -2.7222
Energy above the lowest structure with this stoichiometry (eV/atom): 0.000


Pm2Ru5C4 | PBE | optimized geometry Values from VASP.

Quantum ESPRESSO input file:
```
&SYSTEM
  ibrav = 0, nat = 11, ntyp = 3
/
ATOMIC_SPECIES
Pm 145.00 Pm.upf
Ru 101.07 Ru.upf
C 12.01 C.upf
CELL_PARAMETERS angstrom
0.000 4.947 5.502
2.726 0.000 5.502
2.726 4.947 0.000
ATOMIC_POSITIONS angstrom
Pm 2.726 4.947 1.605
Pm 2.726 4.947 9.400
Ru 1.363 2.473 0.000
Ru 1.363 2.473 2.751
Ru 1.363 2.473 5.502
Ru 2.726 4.947 5.502
Ru 4.088 7.420 8.253
C 2.726 3.329 4.074
C 2.726 3.329 6.931
C 2.726 6.565 4.074
C 2.726 6.565 6.931
```

Summary:
Space-group type: Fmmm (69)
E_tot (eV/atom): -8.4970


CdReO3 | PBE | optimized geometry Values from VASP.

Quantum ESPRESSO input file:
```
&SYSTEM
  ibrav = 0, nat = 5, ntyp = 3
/
ATOMIC_SPECIES
Cd 112.41 Cd.upf
Re 186.21 Re.upf
O 16.00 O.upf
CELL_PARAMETERS angstrom
3.919 0.000 0.000
0.000 3.919 0.000
0.000 0.000 3.919
ATOMIC_POSITIONS angstrom
Cd 0.000 0.000 0.000
Re 1.959 1.959 1.959
O 0.000 1.959 1.959
O 1.959 0.000 1.959
O 1.959 1.959 0.000
```

Summary:
Space-group type: Pm-3m (221)
E_tot (eV/atom): -6.6523
Formation energy without anion corrections (eV per atom): -1.00


Mg7In2Pb2 | PBE | optimized geometry Values from VASP.

Quantum ESPRESSO input file:
```
&SYSTEM
  ibrav = 0, nat = 11, ntyp = 3
/
ATOMIC_SPECIES
Mg 24.30 Mg.upf
In 114.82 In.upf
Pb 207.20 Pb.upf
CELL_PARAMETERS angstrom
3.663 -4.477 0.000
3.663 4.477 0.000
-1.851 0.000 8.459
ATOMIC_POSITIONS angstrom
Mg 0.000 0.000 0.000
Mg 0.411 1.705 6.924
Mg 0.183 0.000 3.103
Mg 0.411 -1.705 6.924
Mg 5.063 1.705 1.536
Mg 5.292 0.000 5.356
Mg 5.063 -1.705 1.536
In 2.628 0.000 1.210
In 2.846 0.000 7.249
Pb 2.737 1.774 4.230
Pb 2.737 -1.774 4.230
```

Summary:
Space-group type: C2/m (12)
E_tot (eV/atom): -2.2041
Energy above the lowest structure with this stoichiometry (eV/atom): 0.000


In2SbW | PBE | optimized geometry Values from VASP.

Quantum ESPRESSO input file:
```
&SYSTEM
  ibrav = 0, nat = 4, ntyp = 3
/
ATOMIC_SPECIES
In 114.82 In.upf
Sb 121.76 Sb.upf
W 183.84 W.upf
CELL_PARAMETERS angstrom
4.246 0.000 0.000
0.000 4.246 0.000
0.000 0.000 4.836
ATOMIC_POSITIONS angstrom
In 0.000 2.123 0.000
In 2.123 0.000 0.000
Sb 0.000 0.000 2.418
W 2.123 2.123 2.418
```

Summary:
Space-group type: P4/mmm (123)
E_tot (eV/atom): -4.8133
Formation energy without anion corrections (eV per atom): 0.82


Li2YOs | PBE | optimized geometry Values from VASP.

Quantum ESPRESSO input file:
```
&SYSTEM
  ibrav = 0, nat = 8, ntyp = 3
/
ATOMIC_SPECIES
Li 6.94 Li.upf
Y 88.91 Y.upf
Os 190.23 Os.upf
CELL_PARAMETERS angstrom
3.811 0.000 0.000
0.000 4.606 0.000
0.000 0.000 7.959
ATOMIC_POSITIONS angstrom
Li 0.000 0.000 0.000
Li 0.000 2.303 2.190
Li 1.905 0.000 6.169
Li 1.905 2.303 3.980
Y 0.000 2.303 6.119
Y 1.905 0.000 2.140
Os 0.000 0.000 4.312
Os 1.905 2.303 0.333
```

Summary:
Space-group type: Imm2 (44)
E_tot (eV/atom): -5.1376
Energy above the lowest structure with this stoichiometry (eV/atom): 0.084


no.,V (Å³/f.u.),total magnetization (μB per formula unit)
1,68.9,0.00
2,71.1,0.00
3,179.4,3.20
4,148.4,0.00
5,60.2,0.00
6,277.4,0.00
7,87.2,1.34
8,69.8,0.00